# 1
{"formula": "LiGdThZn", "functional": "PBE-GGA", "state": "relaxed", "e_form_mev_per_atom": -22, "dos_at_fermi_per_ev_cell": 4.22, "lattice": [[5.178, 0.000, 0.000], [2.589, 4.485, 0.000], [2.589, 1.495, 4.228]], "species": ["Zn", "Gd", "Th", "Li"], "frac_coords": [[0.750, 0.750, 0.750], [0.000, 0.000, 0.000], [0.500, 0.500, 0.500], [0.250, 0.250, 0.250]]}

# 2
{"formula": "Ta2PdICl", "functional": "PBE-GGA", "state": "relaxed", "e_form_raw_ev_per_fu": 9.27, "dos_at_fermi_per_ev_cell": 6.46, "lattice": [[-4.636, -1.420, 1.666], [2.017, -1.684, 4.177], [-0.633, 4.605, 2.163]], "species": ["I", "Cl", "Pd", "Ta", "Ta"], "frac_coords": [[0.000, 0.000, 0.000], [0.500, 0.500, 0.500], [0.000, 0.500, 0.000], [0.000, 0.000, 0.500], [0.500, 0.000, 0.000]]}

# 3
{"formula": "V2FeB2", "functional": "PBE-GGA", "state": "relaxed", "e_form_mev_per_atom": -658, "dos_at_fermi_per_ev_cell": 8.01, "lattice": [[-1.454, 1.257, 5.203], [-5.255, 0.687, -1.634], [-0.559, -2.948, 0.556]], "species": ["B", "B", "B", "B", "Fe", "Fe", "V", "V", "V", "V"], "frac_coords": [[0.386, 0.886, 0.000], [0.886, 0.614, 0.000], [0.614, 0.114, 0.000], [0.114, 0.386, 0.000], [0.000, 0.000, 0.000], [0.500, 0.500, 0.000], [0.177, 0.677, 0.500], [0.677, 0.823, 0.500], [0.823, 0.323, 0.500], [0.323, 0.177, 0.500]]}

# 4
{"formula": "Rb2Tm2PaSe6", "functional": "PBE-GGA", "state": "relaxed", "e_form_raw_ev_per_fu": -18.13, "dos_at_fermi_per_ev_cell": 1.50, "lattice": [[7.196, -0.026, 0.063], [-3.579, 6.243, 0.063], [-1.288, -2.214, 8.166]], "species": ["Rb", "Rb", "Tm", "Tm", "Pa", "Se", "Se", "Se", "Se", "Se", "Se"], "frac_coords": [[0.833, 0.167, 0.000], [0.167, 0.833, 0.000], [0.333, 0.667, 0.500], [0.667, 0.333, 0.500], [0.000, 0.000, 0.500], [0.729, 0.729, 0.690], [0.064, 0.399, 0.691], [0.271, 0.271, 0.310], [0.399, 0.064, 0.691], [0.936, 0.601, 0.309], [0.601, 0.936, 0.309]]}

# 5
{"formula": "TmCoCu", "functional": "PBE-GGA", "state": "relaxed", "e_form_mev_per_atom": -222, "polymorph_energy_mev_per_atom": 0, "dos_at_fermi_per_ev_cell": 5.35, "lattice": [[4.410, -0.086, -2.576], [-2.894, 4.209, -0.008], [-0.098, 0.086, 5.106]], "species": ["Tm", "Tm", "Co", "Co", "Cu", "Cu"], "frac_coords": [[0.250, 0.123, 0.873], [0.750, 0.877, 0.127], [0.000, 0.500, 0.500], [0.500, 0.000, 0.500], [0.500, 0.500, 0.500], [0.000, 0.500, 0.000]]}

# 6
{"formula": "BIF2", "functional": "PBE-GGA", "state": "relaxed", "e_form_raw_ev_per_fu": -7.39, "polymorph_energy_mev_per_atom": 0, "dos_at_fermi_per_ev_cell": 0.00, "lattice": [[6.407, 0.000, 3.077], [3.157, 4.198, 1.634], [1.418, -0.787, 5.257]], "species": ["B", "I", "F", "F"], "frac_coords": [[0.000, 0.620, 0.380], [0.000, 0.952, 0.048], [0.210, 0.304, 0.276], [0.790, 0.724, 0.696]]}

# 7
{"formula": "CdAg2H", "functional": "PBE-GGA", "state": "relaxed", "polymorph_energy_mev_per_atom": 366, "dos_at_fermi_per_ev_cell": 1.34, "lattice": [[0.000, 3.240, 3.240], [3.240, 0.000, 3.240], [3.240, 3.240, 0.000]], "species": ["H", "Ag", "Ag", "Cd"], "frac_coords": [[0.000, 0.000, 0.000], [0.250, 0.250, 0.250], [0.750, 0.750, 0.750], [0.500, 0.500, 0.500]]}

# 8
{"formula": "CeTlSiO4", "functional": "PBE-GGA", "state": "relaxed", "e_form_raw_ev_per_fu": -17.67, "dos_at_fermi_per_ev_cell": 12.08, "lattice": [[-2.131, -1.010, 5.560], [-4.019, -3.379, -2.154], [5.300, -5.635, -1.048]], "species": ["Ce", "Ce", "Tl", "Tl", "Si", "Si", "O", "O", "O", "O", "O", "O", "O", "O"], "frac_coords": [[0.771, 0.750, 0.430], [0.229, 0.250, 0.570], [0.695, 0.750, 0.889], [0.305, 0.250, 0.111], [0.255, 0.750, 0.354], [0.745, 0.250, 0.646], [0.919, 0.479, 0.664], [0.081, 0.979, 0.336], [0.081, 0.521, 0.336], [0.919, 0.021, 0.664], [0.420, 0.750, 0.215], [0.580, 0.250, 0.785], [0.429, 0.750, 0.554], [0.571, 0.250, 0.446]]}

Q: Number 3 is which compound?
A: V2FeB2

Repeat the fourth record exactly.
{"formula": "Rb2Tm2PaSe6", "functional": "PBE-GGA", "state": "relaxed", "e_form_raw_ev_per_fu": -18.13, "dos_at_fermi_per_ev_cell": 1.50, "lattice": [[7.196, -0.026, 0.063], [-3.579, 6.243, 0.063], [-1.288, -2.214, 8.166]], "species": ["Rb", "Rb", "Tm", "Tm", "Pa", "Se", "Se", "Se", "Se", "Se", "Se"], "frac_coords": [[0.833, 0.167, 0.000], [0.167, 0.833, 0.000], [0.333, 0.667, 0.500], [0.667, 0.333, 0.500], [0.000, 0.000, 0.500], [0.729, 0.729, 0.690], [0.064, 0.399, 0.691], [0.271, 0.271, 0.310], [0.399, 0.064, 0.691], [0.936, 0.601, 0.309], [0.601, 0.936, 0.309]]}